(1)
Ac2AgPdO5 | PBE | relaxed

Raw formation energy in eV per atom: -1.84
Calculated total energy in eV/atom: -6.402

The structure in CIF format:
```
data_Ac2AgPdO5
_cell_length_a 7.274
_cell_length_b 7.274
_cell_length_c 5.798
_cell_angle_alpha 90.00
_cell_angle_beta 90.00
_cell_angle_gamma 90.00
_symmetry_space_group_name_H-M 'P 4/m b m'
_symmetry_Int_Tables_number 127
_symmetry_space_group_name_Hall '-P 4 2ab'
loop_
_atom_site_label
_atom_site_fract_x
_atom_site_fract_y
_atom_site_fract_z
Ac1 0.179 0.321 0.000
Ag1 0.000 0.000 0.500
Pd1 0.000 0.500 0.500
O1 0.000 0.000 0.000
O2 0.132 0.632 0.252
```

***

(2)
Y2SnPt | PBE | relaxed

Calculated total energy in eV/atom: -6.769
DFT formation energy in eV/atom: -1.03

The structure in CIF format:
```
data_Y2SnPt
_cell_length_a 6.079
_cell_length_b 4.399
_cell_length_c 8.095
_cell_angle_alpha 90.00
_cell_angle_beta 111.23
_cell_angle_gamma 90.00
_symmetry_space_group_name_H-M 'P 1 21/m 1'
_symmetry_Int_Tables_number 11
loop_
_symmetry_equiv_pos_as_xyz
'x,y,z'
'-x,-y,-z'
'-x,y+1/2,-z'
'x,-y+1/2,z'
loop_
_atom_site_label
_atom_site_fract_x
_atom_site_fract_y
_atom_site_fract_z
Y1 0.203 0.250 0.445
Y2 0.230 0.250 0.906
Sn1 0.323 0.750 0.208
Pt1 0.335 0.750 0.705
```

***

(3)
Sm8Te4AsP3 | PBE | relaxed

Raw formation energy in eV per atom: -1.56
Calculated total energy in eV/atom: -6.014

The structure in CIF format:
```
data_Sm8Te4AsP3
_cell_length_a 8.4502
_cell_length_b 8.4502
_cell_length_c 21.6971
_cell_angle_alpha 90.00
_cell_angle_beta 90.00
_cell_angle_gamma 120.00
_symmetry_space_group_name_H-M 'R -3 m'
_symmetry_Int_Tables_number 166
_symmetry_space_group_name_Hall '-R 3 2"'
loop_
_atom_site_label
_atom_site_fract_x
_atom_site_fract_y
_atom_site_fract_z
Sm1 0.0000 0.0000 0.2372
Sm2 0.0052 0.5026 0.7618
Te1 0.0000 0.0000 0.0000
Te2 0.0000 0.5000 0.0000
As1 0.0000 0.0000 0.5000
P1 0.0000 0.5000 0.5000
```

***

(4)
InTcCl2 | PBE | relaxed

Raw formation energy in eV per atom: 0.35
Excess energy over the best structure of this formula in the dataset in meV per atom: 632
Calculated total energy in eV/atom: -3.850

The structure in CIF format:
```
data_InTcCl2
_cell_length_a 6.925
_cell_length_b 7.842
_cell_length_c 3.398
_cell_angle_alpha 90.00
_cell_angle_beta 90.00
_cell_angle_gamma 90.00
_symmetry_space_group_name_H-M 'C m m m'
_symmetry_Int_Tables_number 65
_symmetry_space_group_name_Hall '-C 2 2'
loop_
_atom_site_label
_atom_site_fract_x
_atom_site_fract_y
_atom_site_fract_z
In1 0.000 0.000 0.000
Tc1 0.000 0.500 0.000
Cl1 0.250 0.250 0.500
```

***

(5)
Na2Sn2Br7 | PBE | relaxed

Raw formation energy in eV per atom: -0.91
Excess energy over the best structure of this formula in the dataset in meV per atom: 42
Calculated total energy in eV/atom: -2.945

The structure in CIF format:
```
data_Na2Sn2Br7
_cell_length_a 4.381
_cell_length_b 15.844
_cell_length_c 9.984
_cell_angle_alpha 90.00
_cell_angle_beta 90.00
_cell_angle_gamma 90.00
_symmetry_space_group_name_H-M 'I m m 2'
_symmetry_Int_Tables_number 44
loop_
_symmetry_equiv_pos_as_xyz
'x,y,z'
'-x,-y,z'
'-x,y,z'
'x,-y,z'
'x+1/2,y+1/2,z+1/2'
'-x+1/2,-y+1/2,z+1/2'
'-x+1/2,y+1/2,z+1/2'
'x+1/2,-y+1/2,z+1/2'
loop_
_atom_site_label
_atom_site_fract_x
_atom_site_fract_y
_atom_site_fract_z
Na1 0.000 0.242 0.000
Sn1 0.000 0.000 0.710
Sn2 0.000 0.500 0.650
Br1 0.000 0.111 0.241
Br2 0.000 0.186 0.659
Br3 0.000 0.389 0.433
Br4 0.000 0.500 0.027
```

***

(6)
PrSm6Y2Er | PBE | relaxed

Calculated total energy in eV/atom: -4.939
DFT formation energy in eV/atom: 0.12

The structure in CIF format:
```
data_PrSm6Y2Er
_cell_length_a 9.398
_cell_length_b 15.162
_cell_length_c 9.529
_cell_angle_alpha 90.00
_cell_angle_beta 95.52
_cell_angle_gamma 90.00
_symmetry_space_group_name_H-M 'C 1 2/c 1'
_symmetry_Int_Tables_number 15
loop_
_symmetry_equiv_pos_as_xyz
'x,y,z'
'-x,-y,-z'
'-x,y,-z+1/2'
'x,-y,z+1/2'
'x+1/2,y+1/2,z'
'-x+1/2,-y+1/2,-z'
'-x+1/2,y+1/2,-z+1/2'
'x+1/2,-y+1/2,z+1/2'
loop_
_atom_site_label
_atom_site_fract_x
_atom_site_fract_y
_atom_site_fract_z
Pr1 0.000 0.034 0.250
Sm1 0.062 0.178 0.942
Sm2 0.093 0.386 0.115
Sm3 0.218 0.224 0.315
Y1 0.247 0.452 0.449
Er1 0.000 0.411 0.750
```

***

Question: Number 6 is which compound?
Answer: PrSm6Y2Er